The following is a PBE calculation of Sr3NbTe after structural relaxation, from Alexandria via LeMat-Bulk.

magnetic moment: 5.3 μB/cell
raw formation energy: 0.326 eV/atom
relative energy among the computed polymorphs: 0.000 eV per atom
raw total energy: -3.3250 eV per atom
symmetry: Pm-3m (221)

Lattice parameters (Å, degrees): 6.1905 6.1905 6.1905 90.00 90.00 90.00
Last column: nearest neighbours and their distance in Å.
Sites, in units of the cell vectors:
Sr1 0.0000 0.0000 0.5000  2 Te 3.10
Sr2 0.0000 0.5000 0.0000  2 Te 3.10
Sr3 0.5000 0.0000 0.0000  2 Te 3.10
Nb1 0.5000 0.5000 0.5000  12 Sr 4.38
Te1 0.0000 0.0000 0.0000  6 Sr 3.10